(1)
DFT (PBE-GGA) results for a geometry-optimized Bi2Pd2O structure.

The structure in extended XYZ format:
```
10
Lattice="-1.4067 -0.6585 6.7707 5.7036 -3.8824 0.8074 2.1752 3.3574 0.7785" Properties=species:S:1:pos:R:3 pbc="T T T"
O 0.0000 0.0000 0.0000
O 2.1484 -2.2704 3.7891
Pd 2.4518 -3.0562 6.3301
Pd 4.3918 -3.5687 3.1198
Pd 1.8450 -1.4847 1.2481
Pd -0.0950 -0.9722 4.4584
Bi 4.6518 -1.0153 2.0494
Bi 4.9089 -1.9984 5.5707
Bi 1.5631 0.8150 2.7859
Bi 1.8202 -0.1681 6.3072
```

Summary:
energy above the lowest structure with this stoichiometry	86	meV per atom
crystal system	tetragonal
symmetry	No. 127
spin magnetization	0.00	μB per formula unit
formation energy from raw total energies	1.21	kJ/mol of atoms



(2)
DFT (PBE-GGA) results for a geometry-optimized Bi2Pd2O structure.

The structure in extended XYZ format:
```
5
Lattice="5.5763 0.0000 0.0000 0.0000 5.5763 0.0000 2.7882 2.7882 3.3577" Properties=species:S:1:pos:R:3 pbc="T T T"
Bi 5.5763 2.7882 1.6788
Bi 2.7882 5.5763 1.6788
Pd 5.5763 5.5763 2.0688
Pd 2.7882 2.7882 1.2889
O 0.0000 0.0000 0.0000
```

Summary:
energy above the lowest structure with this stoichiometry	0	meV per atom
crystal system	tetragonal
symmetry	No. 139
spin magnetization	0.00	μB per formula unit
formation energy from raw total energies	-7.06	kJ/mol of atoms